1.
Here is a relaxed structure of Rb3Tm3RuO8 from Alexandria. Energies are from PBE-GGA.

Geometry as extended XYZ:
```
15
Lattice="6.699 0.000 0.000 -3.349 5.802 -0.022 0.000 -3.845 6.586" Properties=species:S:1:pos:R:3 pbc="T T T"
Rb 0.000 0.000 0.000
Rb -1.675 2.901 -0.011
Rb 1.675 2.901 -0.011
Tm 3.349 -1.922 3.293
Tm 1.675 0.979 3.282
Tm -1.675 0.979 3.282
Ru 0.000 -1.922 3.293
O 0.000 1.942 2.164
O 3.349 0.016 4.401
O 3.349 2.070 2.202
O 0.000 -0.113 4.363
O 5.136 -1.024 2.214
O -1.787 2.982 4.351
O 1.562 -1.024 2.214
O 1.787 2.982 4.351
```

Computed properties:
As for the crystal system: trigonal. The value obtained for the raw total energy is -6.735 eV per atom.

2.
Here is a relaxed structure of Rb4Tm3RuO8 from Alexandria. Energies are from PBE-GGA.

Geometry as extended XYZ:
```
16
Lattice="6.772 0.000 0.000 0.000 7.550 0.534 -3.386 -3.376 4.796" Properties=species:S:1:pos:R:3 pbc="T T T"
Rb 3.386 0.000 0.000
Rb 1.693 -1.688 2.398
Rb 0.000 0.000 0.000
Rb -1.693 -1.688 2.398
Tm 3.386 3.775 0.267
Tm 1.693 2.087 2.665
Tm -1.693 2.087 2.665
Ru 0.000 3.775 0.267
O -1.736 1.866 4.930
O 0.000 3.597 2.472
O 0.000 0.604 2.816
O 1.736 1.866 4.930
O 1.650 2.308 0.399
O 3.386 3.570 2.513
O 3.386 0.577 2.858
O 5.122 2.308 0.399
```

Computed properties:
As for the crystal system: trigonal. The value obtained for the raw total energy is -6.375 eV per atom.

3.
Here is a relaxed structure of Rb2TmRu3O12 from Alexandria. Energies are from PBE-GGA.

Geometry as extended XYZ:
```
18
Lattice="-6.090 -3.571 -2.603 -2.742 -6.144 3.368 -6.545 0.094 3.710" Properties=species:S:1:pos:R:3 pbc="T T T"
Rb -9.478 -5.930 2.759
Rb -5.899 -3.691 1.717
Tm 0.000 0.000 0.000
Ru -3.045 -1.785 -1.301
Ru -1.371 -3.072 1.684
Ru -3.273 0.047 1.855
O -8.754 -2.888 3.663
O -10.480 -8.963 2.013
O -10.741 -6.857 5.640
O -8.473 -5.153 -0.238
O -12.664 -5.379 2.209
O -6.404 -6.743 3.452
O -6.623 -6.732 0.812
O -4.898 -0.658 2.462
O -4.636 -2.763 -1.164
O -6.905 -4.468 4.714
O -2.713 -4.241 2.266
O -8.974 -2.878 1.023
```

Computed properties:
As for the crystal system: trigonal. The value obtained for the raw total energy is -6.505 eV per atom.

Energy relative to the elements, uncorrected values, unit meV/atom, following the record order: -2385 -2236 -1297.